# In2Ag2Se, optimized geometry, DFT GGA-PBE
# ΔE to the lowest computed polymorph = 0.026 eV per atom
# Magnetization = 0.0 μB/f.u.
# VASP energy = -29.3 eV/cell
# Calculated volume = 234.2 Å³ per cell
# Uncorrected formation energy = 7 meV per atom
data_In2Ag2Se
_chemical_formula_sum 'In4 Ag4 Se2'
_cell_length_a 3.883
_cell_length_b 3.883
_cell_length_c 15.535
_cell_angle_alpha 90.00
_cell_angle_beta 90.00
_cell_angle_gamma 90.00
_space_group_name_H-M_alt 'I 4/m m m'
_space_group_IT_number 139
_space_group_name_Hall '-I 4 2'
loop_
_atom_site_label
_atom_site_type_symbol
_atom_site_fract_x
_atom_site_fract_y
_atom_site_fract_z
In1 In 0.000 0.000 0.098
Ag1 Ag 0.000 0.500 0.250
Se1 Se 0.000 0.000 0.500